First-principles (PBE) data for a relaxed Nd4Np6O19 crystal, as listed in Alexandria via LeMat-Bulk.

Geometry as extended XYZ:
```
29
Lattice="-4.909 4.909 4.909 4.909 -4.909 4.909 4.909 4.909 -4.909" Properties=species:S:1:pos:R:3 pbc="T T T"
Nd 3.488 3.488 -3.488
Nd 3.488 -3.488 3.488
Nd 1.421 1.421 1.421
Nd -3.488 3.488 3.488
Np 4.909 0.000 1.717
Np 4.909 3.191 0.000
Np 1.717 4.909 0.000
Np 3.191 0.000 4.909
Np 0.000 1.717 4.909
Np 0.000 4.909 3.191
O 0.000 0.000 0.000
O 3.521 0.000 0.000
O 6.296 0.000 0.000
O 4.449 2.124 -1.893
O 6.802 -0.460 2.785
O 2.124 -1.893 4.449
O 3.015 0.460 2.785
O 2.785 3.015 0.460
O 0.000 3.521 0.000
O 0.000 0.000 3.521
O 5.369 2.124 1.893
O 0.460 2.785 3.015
O 0.000 6.296 0.000
O 0.000 0.000 6.296
O 2.785 6.802 -0.460
O -1.893 4.449 2.124
O 2.124 1.893 5.369
O 1.893 5.369 2.124
O -0.460 2.785 6.802
```

## Properties
size of the total moment: 16.000 Bohr magnetons per cell
uncorrected formation energy: -3.0251 eV/atom
N(E_F): 1.16 states/eV/atom